Material: IrRhAu2I
Method: DFT, GGA-PBEsol
State: relaxed

a = 4.6071 Å, b = 4.9738 Å, c = 4.9738 Å
α = 90.00°, β = 90.00°, γ = 90.00°
Positions (direct):
Au1 0.0000 0.0000 0.5000
Au2 0.0000 0.5000 0.0000
I1 0.5000 0.5000 0.5000
Rh1 0.0000 0.0000 0.0000
Ir1 0.5000 0.0000 0.0000

Results
Formation energy without anion corrections   1.3102 eV/atom
Total DFT energy (no corrections)   -4.21 eV/atom

Material: SrLa2Sc
Method: DFT, GGA-PBEsol
State: relaxed

a = 3.6626 Å, b = 3.6626 Å, c = 10.2307 Å
α = 90.00°, β = 90.00°, γ = 90.00°
Positions (direct):
La1 0.5000 0.5000 0.2663
La2 0.0000 0.0000 0.0313
Sc1 0.0000 0.0000 0.4727
Sr1 0.5000 0.5000 0.7297

Results
Energy relative to the lowest polymorph listed for this composition   0.000 eV/atom
Total DFT energy (no corrections)   -4.63 eV/atom